The following is a DFT calculation (PBE) of a relaxed structure of Ac7ScSn4.

Values from the calculation:
energy relative to the elements	-212	meV/atom
final energy	-4.4703	eV/atom

a b c (Å): 16.4816 5.9557 11.9046
angles (deg): 90.00 126.63 90.00
Space group C2/m (No. 12)
Unique sites:
Ac 0.0000 0.0000 0.0000
Ac 0.0794 0.5000 0.3249
Ac 0.1500 0.0000 0.5724
Ac 0.2078 0.5000 0.8711
Sc 0.0000 0.5000 0.0000
Sn 0.0745 0.0000 0.7781
Sn 0.2146 0.0000 0.3365

---

The following is a DFT calculation (PBE) of a relaxed structure of Ac2ScSn5.

Values from the calculation:
energy relative to the elements	-503	meV/atom
final energy	-4.8236	eV/atom

a b c (Å): 7.1349 7.1349 9.6988
angles (deg): 90.00 90.00 90.00
Space group I4mm (No. 107)
Unique sites:
Ac 0.0000 0.5000 0.0000
Sc 0.0000 0.0000 0.2142
Sn 0.0000 0.0000 0.5167
Sn 0.2139 0.2139 0.7531

---

The following is a DFT calculation (PBE) of a relaxed structure of Ac3Sc2Sn4.

Values from the calculation:
energy relative to the elements	-645	meV/atom
final energy	-5.2008	eV/atom

a b c (Å): 13.1410 4.8017 9.8048
angles (deg): 90.00 111.57 90.00
Space group C2/m (No. 12)
Unique sites:
Ac 0.0000 0.0000 0.0000
Ac 0.1205 0.5000 0.6957
Sc 0.1896 0.5000 0.3596
Sn 0.0850 0.0000 0.4036
Sn 0.2098 0.5000 0.0703